[1]
The following is a DFT calculation (GGA-PBE) of Cs2Zn3BiF12 after structural relaxation.

The space group is R-3m (No. 166, hexagonal axes) and the conventional cell measures 7.5437, 7.5437 and 19.6522 Å, with angles of 90.00, 90.00 and 120.00 degrees. Symmetry generates all atoms from Cs at (0.0000, 0.0000, 0.1061), Zn at (0.0000, 0.5000, 0.0000), Bi at (0.0000, 0.0000, 0.5000), F at (0.0411, 0.5205, 0.1080) and F at (0.0736, 0.5368, 0.3426).

The formation energy (no corrections) comes out at -2.391 eV per atom.

[2]
The following is a DFT calculation (GGA-PBE) of Cs2ZnBiF after structural relaxation.

The space group is P4/mmm (No. 123) and the conventional cell measures 7.674, 7.674 and 4.773 Å, with angles of 90.00, 90.00 and 90.00 degrees. Symmetry generates all atoms from Cs at (0.000, 0.500, 0.000), Zn at (0.000, 0.000, 0.500), Bi at (0.500, 0.500, 0.000) and F at (0.500, 0.500, 0.500).

The formation energy (no corrections) comes out at -0.480 eV per atom.

[3]
The following is a DFT calculation (GGA-PBE) of CsFe3Bi after structural relaxation.

The space group is Pm-3m (No. 221) and the conventional cell measures 4.948, 4.948 and 4.948 Å, with angles of 90.00, 90.00 and 90.00 degrees. Symmetry generates all atoms from Cs at (0.000, 0.000, 0.000), Fe at (0.000, 0.000, 0.500) and Bi at (0.500, 0.500, 0.500).

The relative energy among the computed polymorphs is 932 meV/atom. Its formation energy is 2280 meV/atom.

[4]
The following is a DFT calculation (GGA-PBE) of CsFe3Bi after structural relaxation.

The space group is Pm-3m (No. 221) and the conventional cell measures 5.187, 5.187 and 5.187 Å, with angles of 90.00, 90.00 and 90.00 degrees. Symmetry generates all atoms from Cs at (0.000, 0.000, 0.000), Fe at (0.000, 0.500, 0.500) and Bi at (0.500, 0.500, 0.500).

The relative energy among the computed polymorphs is 0 meV/atom. Its formation energy is 1347 meV/atom.

[5]
The following is a DFT calculation (GGA-PBE) of CsFe2BiI8 after structural relaxation.

The space group is C2/m (No. 12) and the conventional cell measures 12.263, 8.453 and 11.184 Å, with angles of 90.00, 98.09 and 90.00 degrees. Symmetry generates all atoms from Cs at (0.000, 0.000, 0.000), Fe at (0.114, 0.500, 0.291), Bi at (0.000, 0.000, 0.500), I at (0.022, 0.258, 0.706), I at (0.189, 0.500, 0.089) and I at (0.245, 0.500, 0.496).

The formation energy (no corrections) comes out at -0.438 eV per atom.

[6]
The following is a DFT calculation (GGA-PBE) of CsFeBi2P after structural relaxation.

The space group is P4/mmm (No. 123) and the conventional cell measures 6.200, 6.200 and 5.017 Å, with angles of 90.00, 90.00 and 90.00 degrees. Symmetry generates all atoms from Cs at (0.000, 0.000, 0.000), Fe at (0.000, 0.000, 0.500), Bi at (0.000, 0.500, 0.000) and P at (0.500, 0.500, 0.500).

Its formation energy is 2197 meV/atom.

[7]
The following is a DFT calculation (GGA-PBE) of Cs2FeBiPb after structural relaxation.

The space group is P4/mmm (No. 123) and the conventional cell measures 7.605, 7.605 and 5.998 Å, with angles of 90.00, 90.00 and 90.00 degrees. Symmetry generates all atoms from Cs at (0.000, 0.500, 0.000), Fe at (0.000, 0.000, 0.500), Bi at (0.500, 0.500, 0.000) and Pb at (0.500, 0.500, 0.500).

Its formation energy is 758 meV/atom.

[8]
The following is a DFT calculation (GGA-PBE) of Cs2FeBiRh after structural relaxation.

The space group is P4/mmm (No. 123) and the conventional cell measures 7.432, 7.432 and 5.053 Å, with angles of 90.00, 90.00 and 90.00 degrees. Symmetry generates all atoms from Cs at (0.000, 0.500, 0.000), Fe at (0.000, 0.000, 0.500), Bi at (0.500, 0.500, 0.000) and Rh at (0.500, 0.500, 0.500).

Its formation energy is 972 meV/atom.

[9]
The following is a DFT calculation (GGA-PBE) of Cs5Ga2Bi4 after structural relaxation.

The space group is C2/m (No. 12) and the conventional cell measures 20.841, 6.172 and 8.929 Å, with angles of 90.00, 96.67 and 90.00 degrees. Symmetry generates all atoms from Cs at (0.000, 0.000, 0.000), Cs at (0.161, 0.500, 0.020), Cs at (0.177, 0.500, 0.504), Ga at (0.043, 0.000, 0.617), Bi at (0.005, 0.500, 0.667) and Bi at (0.166, 0.000, 0.759).

Its formation energy is -194 meV/atom.

[10]
The following is a DFT calculation (GGA-PBE) of Cs3Ga4Bi4 after structural relaxation.

The space group is C2/m (No. 12) and the conventional cell measures 31.798, 4.739 and 5.858 Å, with angles of 90.00, 100.60 and 90.00 degrees. Symmetry generates all atoms from Cs at (0.000, 0.000, 0.000), Cs at (0.152, 0.500, 0.142), Ga at (0.110, 0.000, 0.574), Ga at (0.242, 0.000, 0.263), Bi at (0.063, 0.500, 0.556) and Bi at (0.203, 0.000, 0.713).

Its formation energy is -178 meV/atom.

[11]
The following is a DFT calculation (GGA-PBE) of CsGaBi2 after structural relaxation.

The space group is R-3m (No. 166, hexagonal axes) and the conventional cell measures 5.4282, 5.4282 and 20.9311 Å, with angles of 90.00, 90.00 and 120.00 degrees. Symmetry generates all atoms from Cs at (0.0000, 0.0000, 0.0000), Ga at (0.0000, 0.0000, 0.5000) and Bi at (0.0000, 0.0000, 0.1907).

Its formation energy is -75 meV/atom.

[12]
The following is a DFT calculation (GGA-PBE) of Cs2Ga2Bi after structural relaxation.

The space group is Fmmm (No. 69) and the conventional cell measures 7.110, 13.723 and 17.115 Å, with angles of 90.00, 90.00 and 90.00 degrees. Symmetry generates all atoms from Cs at (0.000, 0.160, 0.142), Ga at (0.000, 0.132, 0.500), Ga at (0.230, 0.000, 0.000) and Bi at (0.000, 0.000, 0.353).

The relative energy among the computed polymorphs is 0 meV/atom. Its formation energy is -194 meV/atom.

| no. | density (g/cm3) | volume (Å³ per atom) | VASP energy (hartree per atom) |
| --- | --- | --- | --- |
| 1 | 4.62 | 17.936 | -0.1529 |
| 2 | 3.30 | 56.214 | -0.0818 |
| 3 | 6.98 | 24.228 | -0.1376 |
| 4 | 6.06 | 27.905 | -0.1719 |
| 5 | 4.25 | 47.827 | -0.1204 |
| 6 | 5.49 | 38.567 | -0.0845 |
| 7 | 3.53 | 69.386 | -0.1027 |
| 8 | 3.77 | 55.820 | -0.1216 |
| 9 | 4.77 | 51.855 | -0.0935 |
| 10 | 5.79 | 39.440 | -0.1074 |
| 11 | 5.79 | 44.509 | -0.1097 |
| 12 | 4.89 | 41.749 | -0.0927 |